Record 1
# CeScInGa

A relaxed structure of CeScInGa (PBE, Alexandria).

abc: 5.126 5.126 5.126
angles: 60.00 60.00 60.00
Element x y z (fractional)
Ce 0.000 0.000 0.000
Sc 0.500 0.500 0.500
In 0.750 0.750 0.750
Ga 0.250 0.250 0.250

Total magnetization   0.9 μB per formula unit
ΔH_f (0 K)   -0.418 eV/atom
Raw total energy   -4.925 eV/atom


Record 2
# CeScInGa

A relaxed structure of CeScInGa (PBE, Alexandria).

abc: 3.279 3.279 8.477
angles: 90.00 90.00 90.00
Element x y z (fractional)
Ce 0.000 0.000 0.000
Sc 0.000 0.000 0.540
In 0.500 0.500 0.288
Ga 0.500 0.500 0.750

Total magnetization   0.7 μB per formula unit
ΔH_f (0 K)   -0.473 eV/atom
Raw total energy   -4.981 eV/atom


Record 3
# CeSmInGa

A relaxed structure of CeSmInGa (PBE, Alexandria).

abc: 3.440 3.440 8.684
angles: 90.00 90.00 90.00
Element x y z (fractional)
Ce 0.000 0.000 0.000
Sm 0.000 0.000 0.463
In 0.500 0.500 0.731
Ga 0.500 0.500 0.233

Total magnetization   0.7 μB per formula unit
ΔH_f (0 K)   -0.469 eV/atom
Raw total energy   -4.573 eV/atom